Entry 1:
DFT (PBE) results for an optimized crystal structure of Zn4Ni3Ag.

a = 4.192 Å, b = 4.192 Å, c = 7.327 Å
α = 73.38°, β = 73.38°, γ = 60.00°
Fractional coordinates of all 8 atoms:
Ni 0.249 0.249 0.252
Ni 0.751 0.751 0.748
Ni 0.500 0.500 0.500
Zn 0.871 0.871 0.388
Zn 0.382 0.382 0.855
Zn 0.129 0.129 0.612
Zn 0.618 0.618 0.145
Ag 0.000 0.000 0.000

Calculated values
crystal system = trigonal
energy relative to the elements = -0.133 eV/atom

Entry 2:
DFT (PBE) results for an optimized crystal structure of PrHoGaPt.

a = 5.106 Å, b = 5.106 Å, c = 5.106 Å
α = 60.00°, β = 60.00°, γ = 60.00°
Fractional coordinates of all 4 atoms:
Pr 0.000 0.000 0.000
Ga 0.250 0.250 0.250
Ho 0.500 0.500 0.500
Pt 0.750 0.750 0.750

Calculated values
crystal system = cubic
energy relative to the elements = -0.775 eV/atom
energy above the lowest structure with this stoichiometry = 101.8 meV/atom

Entry 3:
DFT (PBE) results for an optimized crystal structure of Re2Se.

a = 4.926 Å, b = 4.926 Å, c = 7.035 Å
α = 82.15°, β = 82.15°, γ = 35.47°
Fractional coordinates of all 6 atoms:
Re 0.245 0.245 0.830
Re 0.857 0.857 0.526
Re 0.755 0.755 0.170
Re 0.143 0.143 0.474
Se 0.464 0.464 0.222
Se 0.536 0.536 0.778

Calculated values
crystal system = monoclinic
raw formation energy = 0.35 eV per atom
energy above the lowest structure with this stoichiometry = 276.4 meV/atom

Entry 4:
DFT (PBE) results for an optimized crystal structure of NdBC.

a = 3.556 Å, b = 7.418 Å, c = 6.598 Å
α = 90.00°, β = 90.00°, γ = 90.00°
Fractional coordinates of all 12 atoms:
Nd 0.250 0.326 0.155
Nd 0.750 0.674 0.845
Nd 0.750 0.174 0.655
Nd 0.250 0.826 0.345
B 0.250 0.477 0.573
B 0.750 0.523 0.427
B 0.750 0.023 0.073
B 0.250 0.977 0.927
C 0.250 0.914 0.715
C 0.750 0.086 0.285
C 0.750 0.586 0.215
C 0.250 0.414 0.785

Calculated values
crystal system = orthorhombic
energy relative to the elements = -0.242 eV/atom
energy above the lowest structure with this stoichiometry = 123.0 meV/atom

Entry 5:
DFT (PBE) results for an optimized crystal structure of Ho2HfPd8.

a = 4.167 Å, b = 6.703 Å, c = 7.604 Å
α = 108.06°, β = 105.90°, γ = 90.00°
Fractional coordinates of all 11 atoms:
Ho 0.783 0.334 0.566
Ho 0.217 0.666 0.434
Hf 0.500 0.000 0.000
Pd 0.408 0.563 0.817
Pd 0.673 0.907 0.346
Pd 0.862 0.828 0.724
Pd 0.965 0.275 0.930
Pd 0.138 0.172 0.276
Pd 0.327 0.093 0.654
Pd 0.592 0.437 0.183
Pd 0.035 0.725 0.070

Calculated values
crystal system = monoclinic
energy relative to the elements = -0.756 eV/atom

Entry 6:
DFT (PBE) results for an optimized crystal structure of AcHo2ScSe6.

a = 7.264 Å, b = 7.264 Å, c = 7.689 Å
α = 61.81°, β = 61.81°, γ = 60.00°
Fractional coordinates of all 10 atoms:
Ac 0.804 0.804 0.588
Ho 0.520 0.520 0.441
Ho 0.008 0.008 0.975
Sc 0.323 0.323 0.032
Se 0.595 0.231 0.243
Se 0.231 0.931 0.243
Se 0.931 0.595 0.243
Se 0.371 0.723 0.750
Se 0.723 0.155 0.750
Se 0.156 0.371 0.750

Calculated values
crystal system = trigonal
raw formation energy = -1.81 eV per atom

Entry 7:
DFT (PBE) results for an optimized crystal structure of ZnAu2Se.

a = 3.630 Å, b = 3.633 Å, c = 5.592 Å
α = 90.00°, β = 90.00°, γ = 90.00°
Fractional coordinates of all 4 atoms:
Au 0.000 0.000 0.991
Au 0.000 0.000 0.509
Se 0.500 0.500 0.250
Zn 0.500 0.500 0.750

Calculated values
crystal system = tetragonal
raw formation energy = 0.04 eV per atom

Entry 8:
DFT (PBE) results for an optimized crystal structure of CeCd4Ni.

a = 5.330 Å, b = 7.030 Å, c = 8.547 Å
α = 114.28°, β = 108.14°, γ = 90.00°
Each line ends with the local moment (μB).
Fractional coordinates of all 12 atoms:
Ce 0.206 0.206 0.413  0.94
Ce 0.794 0.794 0.587  0.94
Cd 0.840 0.340 0.680  0.01
Cd 0.611 0.340 0.222  0.01
Cd 0.000 0.196 0.000  0.01
Cd 0.389 0.119 0.778  0.01
Cd 0.160 0.660 0.320  0.01
Cd 0.389 0.660 0.778  0.01
Cd 0.000 0.804 0.000  0.01
Cd 0.611 0.881 0.222  0.01
Ni 0.727 0.500 0.000  0.04
Ni 0.273 0.500 0.000  0.04

Calculated values
crystal system = orthorhombic
energy relative to the elements = -0.046 eV/atom

Entry 9:
DFT (PBE) results for an optimized crystal structure of TcHOs2.

a = 4.172 Å, b = 4.172 Å, c = 4.172 Å
α = 60.00°, β = 60.00°, γ = 60.00°
Fractional coordinates of all 4 atoms:
H 0.000 0.000 0.000
Os 0.250 0.250 0.250
Os 0.750 0.750 0.750
Tc 0.500 0.500 0.500

Calculated values
crystal system = cubic
energy above the lowest structure with this stoichiometry = 470.2 meV/atom

Entry 10:
DFT (PBE) results for an optimized crystal structure of PuTiAlMo.

a = 4.625 Å, b = 4.625 Å, c = 4.625 Å
α = 60.00°, β = 60.00°, γ = 60.00°
Each line ends with the local moment (μB).
Fractional coordinates of all 4 atoms:
Mo 0.500 0.500 0.500  -0.14
Ti 0.000 0.000 0.000  0.46
Al 0.750 0.750 0.750  -0.03
Pu 0.250 0.250 0.250  4.93

Calculated values
crystal system = cubic
energy relative to the elements = -0.034 eV/atom

Entry 11:
DFT (PBE) results for an optimized crystal structure of CeTh2Pd.

a = 3.723 Å, b = 6.314 Å, c = 10.051 Å
α = 90.00°, β = 90.00°, γ = 107.09°
Each line ends with the local moment (μB).
Fractional coordinates of all 8 atoms:
Ce 0.919 0.840 0.250  0.37
Ce 0.081 0.160 0.750  0.37
Th 0.364 0.730 0.549  0.00
Th 0.636 0.270 0.451  0.00
Th 0.364 0.730 0.951  0.00
Th 0.636 0.270 0.049  0.00
Pd 0.778 0.555 0.750  0.00
Pd 0.222 0.445 0.250  0.00

Calculated values
crystal system = monoclinic
energy relative to the elements = -0.332 eV/atom
energy above the lowest structure with this stoichiometry = 0.0 meV/atom

Entry 12:
DFT (PBE) results for an optimized crystal structure of ScAsBr2O.

a = 5.159 Å, b = 5.159 Å, c = 5.469 Å
α = 90.00°, β = 90.00°, γ = 90.00°
Each line ends with the local moment (μB).
Fractional coordinates of all 5 atoms:
Sc 0.000 0.000 0.000  -0.04
As 0.000 0.000 0.500  -0.20
O 0.500 0.500 0.500  -1.23
Br 0.000 0.500 0.000  0.00
Br 0.500 0.000 0.000  0.00

Calculated values
crystal system = tetragonal
raw formation energy = -0.04 eV per atom
energy above the lowest structure with this stoichiometry = 7.6 meV/atom

Entry 13:
DFT (PBE) results for an optimized crystal structure of Al2CoBr8.

a = 8.961 Å, b = 10.545 Å, c = 10.932 Å
α = 70.54°, β = 65.80°, γ = 64.85°
Each line ends with the local moment (μB).
Fractional coordinates of all 22 atoms:
Al 0.848 0.868 0.973  0.00
Al 0.310 0.368 0.473  0.00
Al 0.690 0.632 0.527  0.00
Al 0.152 0.132 0.027  0.00
Co 0.988 0.750 0.250  2.45
Co 0.012 0.250 0.750  2.45
Br 0.402 0.751 0.557  0.01
Br 0.130 0.940 0.215  0.06
Br 0.716 0.945 0.183  0.07
Br 0.156 0.223 0.497  0.06
Br 0.284 0.055 0.817  0.07
Br 0.875 0.277 0.003  0.06
Br 0.844 0.777 0.503  0.06
Br 0.156 0.445 0.683  0.07
Br 0.125 0.723 0.997  0.06
Br 0.710 0.749 0.943  0.01
Br 0.715 0.440 0.715  0.06
Br 0.285 0.560 0.285  0.06
Br 0.290 0.251 0.057  0.01
Br 0.844 0.555 0.317  0.07
Br 0.598 0.249 0.443  0.01
Br 0.870 0.060 0.785  0.06

Calculated values
crystal system = monoclinic
raw formation energy = -0.87 eV per atom

Entry 14:
DFT (PBE) results for an optimized crystal structure of Rb4Np3MnS8.

a = 8.129 Å, b = 8.964 Å, c = 8.130 Å
α = 116.98°, β = 119.99°, γ = 90.00°
Each line ends with the local moment (μB).
Fractional coordinates of all 16 atoms:
Rb 0.500 0.000 0.000  0.01
Rb 0.500 0.000 0.500  0.00
Rb 0.000 0.000 0.000  0.00
Rb 0.000 0.000 0.500  0.00
Np 0.500 0.500 0.000  3.74
Np 0.500 0.500 0.500  3.74
Np 0.000 0.500 0.500  3.74
Mn 0.000 0.500 0.000  4.31
S 0.225 0.686 0.961  -0.05
S 0.226 0.686 0.451  -0.05
S 0.270 0.309 0.539  -0.09
S 0.735 0.686 0.961  -0.05
S 0.265 0.314 0.039  -0.05
S 0.730 0.691 0.461  -0.09
S 0.774 0.314 0.549  -0.05
S 0.775 0.314 0.039  -0.05

Calculated values
crystal system = trigonal
raw formation energy = -1.23 eV per atom

Entry 15:
DFT (PBE) results for an optimized crystal structure of SmUB12.

a = 4.094 Å, b = 4.094 Å, c = 8.200 Å
α = 90.00°, β = 90.00°, γ = 90.00°
Each line ends with the local moment (μB).
Fractional coordinates of all 14 atoms:
Sm 0.000 0.000 0.500  -0.03
U 0.000 0.000 0.000  2.50
B 0.198 0.500 0.249  0.00
B 0.198 0.500 0.751  0.00
B 0.500 0.500 0.400  0.02
B 0.500 0.500 0.902  -0.02
B 0.500 0.198 0.249  0.00
B 0.500 0.198 0.751  0.00
B 0.500 0.500 0.098  -0.02
B 0.500 0.500 0.600  0.02
B 0.500 0.802 0.249  0.00
B 0.500 0.802 0.751  0.00
B 0.802 0.500 0.249  0.00
B 0.802 0.500 0.751  0.00

Calculated values
crystal system = tetragonal
energy relative to the elements = -0.363 eV/atom